Entry 1:
Pm5Th2Pb4 PBE-GGA optimized geometry; VASP energy = -4.922 eV/atom; magnetic moment = 0.0 μB/f.u.; energy of formation = -0.065 eV per atom; DOS at the Fermi energy = 1.0932 states/eV per atom
1.0
3.521 0.000 0.000
0.000 7.679 0.442
-1.760 -1.274 13.597
Pm Th Pb
5 2 4
Direct
0.235 0.208 0.469
0.765 0.792 0.531
0.500 0.000 0.000
0.859 0.150 0.717
0.141 0.850 0.283
0.088 0.288 0.177
0.912 0.712 0.823
0.325 0.494 0.650
0.965 0.337 0.930
0.675 0.506 0.350
0.035 0.663 0.070



Entry 2:
Er2InPd PBE-GGA optimized geometry; VASP energy = -4.962 eV/atom; magnetic moment = 0.0 μB/f.u.; energy relative to the lowest polymorph listed for this composition = 0.0000 eV per atom; energy of formation = -0.698 eV per atom; DOS at the Fermi energy = 0.5372 states/eV per atom
1.0
-3.130 0.219 -1.533
-1.536 -0.892 3.007
-0.450 7.449 1.980
In Er Pd
1 2 1
Direct
0.500 0.500 0.500
0.000 0.000 0.223
0.000 0.000 0.777
0.500 0.500 0.000



Entry 3:
TbBi4 PBE-GGA optimized geometry; VASP energy = -3.594 eV/atom; magnetic moment = 0.0 μB/f.u.; energy of formation = 0.437 eV per atom; DOS at the Fermi energy = 1.1337 states/eV per atom
1.0
5.889 0.000 0.000
0.000 5.889 0.000
0.000 0.000 5.889
Bi Tb
4 1
Direct
0.000 0.000 0.000
0.000 0.500 0.500
0.500 0.500 0.000
0.500 0.000 0.500
0.500 0.500 0.500



Entry 4:
Na2AlV PBE-GGA optimized geometry; VASP energy = -3.063 eV/atom; magnetic moment = 4.0 μB/f.u.; energy of formation = 0.812 eV per atom; DOS at the Fermi energy = 0.6004 states/eV per atom
1.0
8.418 0.000 0.000
0.000 8.418 0.000
4.209 4.209 2.773
Al Na V
2 4 2
Direct
0.250 0.750 0.500
0.500 0.500 0.000
0.616 0.125 0.250
0.134 0.625 0.250
0.375 0.384 0.750
0.875 0.866 0.750
0.750 0.250 0.500
0.000 0.000 0.000



Entry 5:
HoZrSbO6 PBE-GGA optimized geometry; VASP energy = -7.872 eV/atom; energy relative to the elements, uncorrected = -23.85 eV/f.u.; magnetic moment = 0.0 μB/f.u.; DOS at the Fermi energy = 0.0000 states/eV per atom
1.0
-4.614 2.703 -0.843
-0.140 -5.245 1.333
-0.312 2.384 9.347
Sb Ho O Zr
2 2 12 2
Direct
0.667 0.333 0.250
0.333 0.667 0.750
0.000 0.000 0.000
0.000 0.000 0.500
0.984 0.639 0.364
0.345 0.361 0.864
0.345 0.984 0.636
0.639 0.655 0.636
0.655 0.016 0.364
0.984 0.345 0.136
0.361 0.016 0.136
0.361 0.345 0.364
0.639 0.984 0.864
0.016 0.361 0.636
0.655 0.639 0.136
0.016 0.655 0.864
0.333 0.667 0.250
0.667 0.333 0.750



Entry 6:
La2Tb3Dy7 PBE-GGA optimized geometry; VASP energy = -4.545 eV/atom; magnetic moment = 0.0 μB/f.u.; energy relative to the lowest polymorph listed for this composition = 0.0359 eV per atom; energy of formation = 0.119 eV per atom; DOS at the Fermi energy = 1.4849 states/eV per atom
1.0
-2.042 2.660 -1.365
1.315 -1.711 -5.302
-15.823 -10.790 2.649
La Dy Tb
2 7 3
Direct
0.000 0.853 0.705
0.000 0.147 0.295
0.000 0.588 0.177
0.000 0.000 0.000
0.500 0.930 0.859
0.000 0.231 0.461
0.500 0.070 0.141
0.000 0.769 0.539
0.000 0.412 0.823
0.500 0.500 0.000
0.500 0.687 0.374
0.500 0.313 0.626